Compound: BaNiW2
Source: Alexandria
Functional: PBE-GGA
Structure: optimized geometry

- Offset from the most stable computed form: 3.17 eV per formula unit
- Crystal system: tetragonal
- ΔE_f: 1448.4 meV/atom
- Magnetic moment: 0.13 μB per atom
- Calculated total energy: -6.954 eV per atom

Cell lengths 3.867, 3.867, 11.084 Å; angles 90.00, 90.00, 90.00 degrees
Space group I4/mmm (No. 139)
Asymmetric unit:
Ba: 0.000 0.000 0.000
Ni: 0.000 0.000 0.500
W: 0.000 0.500 0.250



Compound: Ba2NiW
Source: Alexandria
Functional: PBE-GGA
Structure: optimized geometry

- Offset from the most stable computed form: 2.54 eV per formula unit
- Crystal system: cubic
- ΔE_f: 1336.3 meV/atom
- Magnetic moment: 0.99 μB per atom
- Calculated total energy: -4.309 eV per atom

Cell lengths 7.619, 7.619, 7.619 Å; angles 90.00, 90.00, 90.00 degrees
Space group F-43m (No. 216)
Asymmetric unit:
Ba: 0.000 0.000 0.000
Ba: 0.250 0.250 0.250
Ni: 0.000 0.000 0.500
W: 0.250 0.250 0.750



Compound: BaNiW2
Source: Alexandria
Functional: PBE-GGA
Structure: optimized geometry

- Offset from the most stable computed form: 2.54 eV per formula unit
- Crystal system: monoclinic
- ΔE_f: 1290.4 meV/atom
- Magnetic moment: 0.00 μB per atom
- Calculated total energy: -7.112 eV per atom

Cell lengths 5.488, 11.419, 3.109 Å; angles 90.00, 124.30, 90.00 degrees
Space group C2/m (No. 12)
Asymmetric unit:
Ba: 0.000 0.000 0.000
Ni: 0.000 0.500 0.000
W: 0.250 0.250 0.500